Version P
The following is a DFT calculation (PBE-GGA) of NaScN2F after structural relaxation.

```
data_NaScN2F
_chemical_formula_sum 'Na1 Sc1 N2 F1'
_space_group_name_H-M_alt 'P 4/m m m'
_space_group_IT_number 123
_space_group_name_Hall '-P 4 2'
_cell_length_a 4.130
_cell_length_b 4.130
_cell_length_c 3.814
_cell_angle_alpha 90.00
_cell_angle_beta 90.00
_cell_angle_gamma 90.00
loop_
_atom_site_label
_atom_site_type_symbol
_atom_site_fract_x
_atom_site_fract_y
_atom_site_fract_z
Na1 Na 0.000 0.000 0.000
Sc1 Sc 0.500 0.500 0.500
N1 N 0.000 0.500 0.000
F1 F 0.000 0.000 0.500
```

Version Q
The following is a DFT calculation (PBE-GGA) of NaScN2F after structural relaxation.

```
data_NaScN2F
_chemical_formula_sum 'Na1 Sc1 N2 F1'
_space_group_name_H-M_alt 'P 4/m m m'
_space_group_IT_number 123
_space_group_name_Hall '-P 4 2'
_cell_length_a 4.351
_cell_length_b 4.351
_cell_length_c 4.126
_cell_angle_alpha 90.00
_cell_angle_beta 90.00
_cell_angle_gamma 90.00
loop_
_atom_site_label
_atom_site_type_symbol
_atom_site_fract_x
_atom_site_fract_y
_atom_site_fract_z
Na1 Na 0.000 0.000 0.000
Sc1 Sc 0.500 0.500 0.500
N1 N 0.000 0.500 0.500
F1 F 0.500 0.500 0.000
```

Least stable of them? version P.

Version P
The following is a DFT calculation (PBE-GGA) of NaSe2NF after structural relaxation.

```
data_NaSe2NF
_chemical_formula_sum 'Na1 Se2 N1 F1'
_space_group_name_H-M_alt 'P 4/m m m'
_space_group_IT_number 123
_space_group_name_Hall '-P 4 2'
_cell_length_a 5.626
_cell_length_b 5.626
_cell_length_c 4.664
_cell_angle_alpha 90.00
_cell_angle_beta 90.00
_cell_angle_gamma 90.00
loop_
_atom_site_label
_atom_site_type_symbol
_atom_site_fract_x
_atom_site_fract_y
_atom_site_fract_z
Na1 Na 0.000 0.000 0.000
Se1 Se 0.000 0.500 0.000
N1 N 0.000 0.000 0.500
F1 F 0.500 0.500 0.500
```

Version Q
The following is a DFT calculation (PBE-GGA) of NaSe2NF after structural relaxation.

```
data_NaSe2NF
_chemical_formula_sum 'Na1 Se2 N1 F1'
_space_group_name_H-M_alt 'P 4/m m m'
_space_group_IT_number 123
_space_group_name_Hall '-P 4 2'
_cell_length_a 4.498
_cell_length_b 4.498
_cell_length_c 5.156
_cell_angle_alpha 90.00
_cell_angle_beta 90.00
_cell_angle_gamma 90.00
loop_
_atom_site_label
_atom_site_type_symbol
_atom_site_fract_x
_atom_site_fract_y
_atom_site_fract_z
Na1 Na 0.000 0.000 0.000
Se1 Se 0.000 0.500 0.500
N1 N 0.500 0.500 0.000
F1 F 0.500 0.500 0.500
```

Least stable of them? version P.

Version P
The following is a DFT calculation (PBE-GGA) of NaSeN2F after structural relaxation.

```
data_NaSeN2F
_chemical_formula_sum 'Na1 Se1 N2 F1'
_space_group_name_H-M_alt 'P 4/m m m'
_space_group_IT_number 123
_space_group_name_Hall '-P 4 2'
_cell_length_a 4.621
_cell_length_b 4.621
_cell_length_c 3.945
_cell_angle_alpha 90.00
_cell_angle_beta 90.00
_cell_angle_gamma 90.00
loop_
_atom_site_label
_atom_site_type_symbol
_atom_site_fract_x
_atom_site_fract_y
_atom_site_fract_z
Na1 Na 0.000 0.000 0.000
Se1 Se 0.500 0.500 0.500
N1 N 0.000 0.500 0.000
F1 F 0.000 0.000 0.500
```

Version Q
The following is a DFT calculation (PBE-GGA) of NaSeN2F after structural relaxation.

```
data_NaSeN2F
_chemical_formula_sum 'Na1 Se1 N2 F1'
_space_group_name_H-M_alt 'P 4/m m m'
_space_group_IT_number 123
_space_group_name_Hall '-P 4 2'
_cell_length_a 4.968
_cell_length_b 4.968
_cell_length_c 4.093
_cell_angle_alpha 90.00
_cell_angle_beta 90.00
_cell_angle_gamma 90.00
loop_
_atom_site_label
_atom_site_type_symbol
_atom_site_fract_x
_atom_site_fract_y
_atom_site_fract_z
Na1 Na 0.000 0.000 0.000
Se1 Se 0.500 0.500 0.000
N1 N 0.000 0.500 0.500
F1 F 0.500 0.500 0.500
```

Least stable of them? version Q.